The following is a DFT calculation (GGA-PBE) of an optimized crystal structure of Mn6Fe2Co.

Values from the calculation:
- DOS(E_F) (states/eV/f.u.) = 11.29
- SG = P2_1/m, No. 11
- energy relative to the elements (eV per atom) = 0.028
- energy (eV per atom) = -8.76

Lattice parameters (Å, degrees): 3.9459 6.5652 7.4361 79.11 90.00 90.00
Last column: nearest neighbours and their distance in Å.
Atoms (fractional coordinates):
Mn  0.2500  0.6091  0.4825  5 Mn 2.42-2.50, 4 Fe 2.43-2.47, 3 Co 2.44-2.47
Mn  0.7500  0.3921  0.8520  4 Fe 2.42-2.48, 6 Mn 2.43-2.50, 2 Co 2.45
Mn  0.2500  0.9443  0.5946  7 Mn 2.43-2.50, 4 Fe 2.44-2.48, 1 Co 2.47
Mn  0.7500  0.0553  0.7408  9 Mn 2.43-2.50, 2 Co 2.44, 1 Fe 2.49
Mn  0.7500  0.0557  0.4054  7 Mn 2.43-2.50, 4 Fe 2.44-2.48, 1 Co 2.47
Mn  0.2500  0.9447  0.2592  9 Mn 2.43-2.50, 2 Co 2.44, 1 Fe 2.49
Mn  0.7500  0.7194  0.9638  7 Mn 2.43-2.50, 4 Fe 2.44-2.49, 1 Co 2.47
Mn  0.7500  0.3909  0.5175  5 Mn 2.42-2.50, 4 Fe 2.43-2.47, 3 Co 2.44-2.47
Mn  0.7500  0.0556  0.0760  10 Mn 2.43-2.50, 1 Co 2.47, 1 Fe 2.48
Mn  0.2500  0.2806  0.0362  7 Mn 2.43-2.50, 4 Fe 2.44-2.49, 1 Co 2.47
Mn  0.2500  0.6079  0.1480  4 Fe 2.42-2.48, 6 Mn 2.43-2.50, 2 Co 2.45
Mn  0.2500  0.9444  0.9240  10 Mn 2.43-2.50, 1 Co 2.47, 1 Fe 2.48
Co  0.2500  0.2778  0.7038  10 Mn 2.44-2.47, 2 Fe 2.47
Co  0.7500  0.7222  0.2962  10 Mn 2.44-2.47, 2 Fe 2.47
Fe  0.2500  0.6101  0.8144  9 Mn 2.42-2.48, 2 Fe 2.44, 1 Co 2.47
Fe  0.7500  0.3899  0.1856  9 Mn 2.42-2.48, 2 Fe 2.44, 1 Co 2.47
Fe  0.7500  0.7221  0.6283  9 Mn 2.43-2.49, 2 Fe 2.44, 1 Co 2.47
Fe  0.2500  0.2779  0.3717  9 Mn 2.43-2.49, 2 Fe 2.44, 1 Co 2.47

The following is a DFT calculation (GGA-PBE) of an optimized crystal structure of CaTlGa.

Values from the calculation:
- DOS(E_F) (states/eV/f.u.) = 1.45
- SG = P2/m, No. 10
- energy relative to the elements (eV per atom) = -0.313
- energy (eV per atom) = -2.78

Lattice parameters (Å, degrees): 3.8304 9.3119 4.8011 90.00 90.00 65.67
Last column: nearest neighbours and their distance in Å.
Atoms (fractional coordinates):
Tl  0.5797  0.2523  0.3653  2 Ga 2.86, 1 Tl 3.07, 1 Ca 3.19
Tl  0.0700  0.8957  0.3653  2 Ga 2.85-2.86, 1 Tl 3.07, 1 Ca 3.19
Ca  0.3246  0.0741  0.8653  8 Tl 3.29-3.57, 2 Ga 3.37
Ca  0.8247  0.5739  0.3653  8 Ga 3.17-3.51, 4 Tl 3.19-3.49
Ga  0.5517  0.4228  0.8653  1 Ga 2.63, 2 Tl 2.86
Ga  0.0962  0.7255  0.8654  1 Ga 2.63, 2 Tl 2.85-2.86

The following is a DFT calculation (GGA-PBE) of an optimized crystal structure of CeCdH8Rh2.

Values from the calculation:
- DOS(E_F) (states/eV/f.u.) = 9.09
- SG = R-3, No. 148
- energy (eV per atom) = -4.15

Lattice parameters (Å, degrees): 4.9119 4.9119 6.3098 67.09 67.09 60.00
Last column: nearest neighbours and their distance in Å.
Atoms (fractional coordinates):
H  0.1032  0.4298  0.8492  2 Rh 1.73-1.93
H  0.6178  0.1032  0.8492  2 Rh 1.73-1.93
H  0.3822  0.8968  0.1508  2 Rh 1.73-1.93
H  0.1964  0.1964  0.4108  1 Rh 1.73
H  0.8036  0.8036  0.5892  1 Rh 1.73
H  0.5702  0.3822  0.1508  2 Rh 1.73-1.93
H  0.8968  0.5702  0.1508  2 Rh 1.73-1.93
H  0.4298  0.6178  0.8492  2 Rh 1.73-1.93
Cd  0.0000  0.0000  0.0000  6 H 2.18
Ce  0.5000  0.5000  0.5000  6 H 2.35
Rh  0.2984  0.2984  0.1047  7 H 1.73-1.93
Rh  0.7016  0.7016  0.8953  7 H 1.73-1.93

The following is a DFT calculation (GGA-PBE) of an optimized crystal structure of Tb6Nd2Y3Er.

Values from the calculation:
- DOS(E_F) (states/eV/f.u.) = 15.99
- SG = C2/m, No. 12
- energy relative to the elements (eV per atom) = 0.016
- energy (eV per atom) = -5.09

Lattice parameters (Å, degrees): 6.1975 6.1975 11.8696 94.97 94.97 119.97
Last column: nearest neighbours and their distance in Å.
Atoms (fractional coordinates):
Nd  0.6666  0.3334  0.0000  3 Nd 3.58, 3 Er 3.58, 6 Tb 3.59-3.60
Nd  0.3334  0.6666  0.0000  3 Nd 3.58, 3 Er 3.58, 6 Tb 3.59-3.60
Tb  0.4165  0.0842  0.2514  3 Y 3.56-3.57, 6 Tb 3.57-3.58, 1 Er 3.59, 2 Nd 3.59-3.60
Tb  0.9158  0.5835  0.7486  3 Y 3.56-3.57, 6 Tb 3.57-3.58, 1 Er 3.59, 2 Nd 3.59-3.60
Tb  0.2481  0.2481  0.7484  3 Y 3.56-3.57, 6 Tb 3.57-3.58, 1 Er 3.59, 2 Nd 3.60
Tb  0.7519  0.7519  0.2516  3 Y 3.56-3.57, 6 Tb 3.57-3.58, 1 Er 3.59, 2 Nd 3.60
Tb  0.0842  0.4165  0.2514  3 Y 3.56-3.57, 6 Tb 3.57-3.58, 1 Er 3.59, 2 Nd 3.59-3.60
Tb  0.5835  0.9158  0.7486  3 Y 3.56-3.57, 6 Tb 3.57-3.58, 1 Er 3.59, 2 Nd 3.59-3.60
Y  0.5000  0.5000  0.5000  6 Tb 3.56-3.57, 6 Y 3.58
Y  0.8337  0.1663  0.5000  6 Tb 3.56-3.57, 6 Y 3.57-3.58
Y  0.1663  0.8337  0.5000  6 Tb 3.56-3.57, 6 Y 3.57-3.58
Er  0.0000  0.0000  0.0000  6 Nd 3.58, 6 Tb 3.59

The following is a DFT calculation (GGA-PBE) of an optimized crystal structure of Ac2SmCu3Ge4.

Values from the calculation:
- DOS(E_F) (states/eV/f.u.) = 2.72
- SG = P-4m2, No. 115
- energy relative to the elements (eV per atom) = -0.516
- energy (eV per atom) = -4.89

Lattice parameters (Å, degrees): 4.4660 4.4660 11.0624 90.00 90.00 90.00
Last column: nearest neighbours and their distance in Å.
Atoms (fractional coordinates):
Cu  0.0000  0.5000  0.1106  5 Ge 2.51-2.55
Cu  0.0000  0.0000  0.5000  4 Ge 2.86, 4 Sm 3.16
Cu  0.5000  0.0000  0.8894  5 Ge 2.51-2.55
Ac  0.5000  0.0000  0.2254  8 Ge 3.35-3.39, 5 Cu 3.40-3.72
Ac  0.0000  0.5000  0.7746  8 Ge 3.35-3.39, 5 Cu 3.40-3.72
Ge  0.5000  0.0000  0.6622  1 Cu 2.51
Ge  0.0000  0.5000  0.3378  1 Cu 2.51
Ge  0.5000  0.5000  0.0000  4 Cu 2.55
Ge  0.0000  0.0000  0.0000  4 Cu 2.55
Sm  0.5000  0.5000  0.5000  4 Ge 2.86, 4 Cu 3.16

The following is a DFT calculation (GGA-PBE) of an optimized crystal structure of La5Pb2N.

Values from the calculation:
- DOS(E_F) (states/eV/f.u.) = 8.84
- E_form (uncorrected) (eV per atom) = -0.704
- SG = Pnma, No. 62
- energy (eV per atom) = -5.75

Lattice parameters (Å, degrees): 7.1132 9.1456 14.9318 90.00 90.00 90.00
Last column: nearest neighbours and their distance in Å.
Atoms (fractional coordinates):
La  0.0000  0.5000  0.5000  2 N 2.62
La  0.9975  0.3449  0.1192  1 N 2.47
La  0.5025  0.3449  0.1192  1 N 2.47
La  0.7500  0.4625  0.7040  1 N 2.61
La  0.0000  0.0000  0.0000  2 N 2.62
La  0.0025  0.1551  0.6192  1 N 2.47
La  0.2500  0.0375  0.2040  1 N 2.61
La  0.0025  0.6551  0.8808  1 N 2.47
La  0.9975  0.8449  0.3808  1 N 2.47
La  0.2500  0.7855  0.6033  1 N 2.54
La  0.5000  0.5000  0.5000  2 N 2.62
La  0.5000  0.0000  0.0000  2 N 2.62
La  0.7500  0.2145  0.3967  1 N 2.54
La  0.2500  0.5375  0.2960  1 N 2.61
La  0.7500  0.9625  0.7960  1 N 2.61
La  0.4975  0.6551  0.8808  1 N 2.47
La  0.4975  0.1551  0.6192  1 N 2.47
La  0.2500  0.2855  0.8967  1 N 2.54
La  0.5025  0.8449  0.3808  1 N 2.47
La  0.7500  0.7145  0.1033  1 N 2.54
Pb  0.7500  0.3180  0.9176  10 La 3.45-3.72
Pb  0.2500  0.6820  0.0824  10 La 3.45-3.72
Pb  0.7500  0.8180  0.5824  10 La 3.45-3.72
Pb  0.2500  0.9583  0.7984  10 La 3.31-3.67
Pb  0.2500  0.1820  0.4176  10 La 3.45-3.72
Pb  0.7500  0.0417  0.2016  10 La 3.31-3.67
Pb  0.2500  0.4583  0.7016  10 La 3.31-3.67
Pb  0.7500  0.5417  0.2984  10 La 3.31-3.67
N  0.7500  0.3101  0.5565  6 La 2.47-2.62
N  0.2500  0.1899  0.0565  6 La 2.47-2.62
N  0.7500  0.8101  0.9435  6 La 2.47-2.62
N  0.2500  0.6899  0.4435  6 La 2.47-2.62

The following is a DFT calculation (GGA-PBE) of an optimized crystal structure of KTaHg.

Values from the calculation:
- DOS(E_F) (states/eV/f.u.) = 1.30
- SG = Fmm2, No. 42
- energy relative to the elements (eV per atom) = 0.784
- energy (eV per atom) = -3.63

Lattice parameters (Å, degrees): 8.9299 8.8016 2.9615 82.84 77.94 19.21
Last column: nearest neighbours and their distance in Å.
Atoms (fractional coordinates):
Hg  0.0120  0.0120  0.9880  4 Hg 2.96, 2 Ta 2.99
K  0.3378  0.3378  0.6622  4 K 2.96
Ta  0.6503  0.6503  0.3497  4 Ta 2.96, 2 Hg 2.99

The following is a DFT calculation (GGA-PBE) of an optimized crystal structure of ZnCdO2.

Values from the calculation:
- DOS(E_F) (states/eV/f.u.) = 0.57
- E_form (uncorrected) (eV per atom) = -1.173
- SG = P3m1, No. 156
- energy (eV per atom) = -4.20

Lattice parameters (Å, degrees): 3.4444 3.4444 5.7010 90.00 90.00 120.00
Last column: nearest neighbours and their distance in Å.
Atoms (fractional coordinates):
O  0.6667  0.3333  0.0983  3 Zn 2.07, 1 Cd 2.24
O  0.0000  0.0000  0.6507  1 Zn 1.97, 3 Cd 2.19
Zn  0.0000  0.0000  0.9965  4 O 1.97-2.07
Cd  0.6667  0.3333  0.4904  4 O 2.19-2.24

The following is a DFT calculation (GGA-PBE) of an optimized crystal structure of LiCdHgRu2.

Values from the calculation:
- DOS(E_F) (states/eV/f.u.) = 7.30
- SG = P4/mmm, No. 123
- energy relative to the elements (eV per atom) = 1.373
- energy (eV per atom) = -2.96

Lattice parameters (Å, degrees): 4.9805 4.4656 4.9805 90.00 90.00 90.00
Last column: nearest neighbours and their distance in Å.
Atoms (fractional coordinates):
Cd  0.0000  0.0000  0.0000  2 Li 2.23, 4 Ru 2.49
Ru  0.5000  0.0000  0.0000  2 Cd 2.49
Ru  0.0000  0.0000  0.5000  2 Cd 2.49
Li  0.0000  0.5000  0.0000  2 Cd 2.23
Hg  0.5000  0.5000  0.5000  8 Ru 3.34, 4 Li 3.52

The following is a DFT calculation (GGA-PBE) of an optimized crystal structure of InTe.

Values from the calculation:
- DOS(E_F) (states/eV/f.u.) = 0.08
- E_form (uncorrected) (eV per atom) = -0.283
- SG = I4/mcm, No. 140
- energy (eV per atom) = -3.22

Lattice parameters (Å, degrees): 7.0647 7.0647 7.0647 105.11 105.11 118.59
Last column: nearest neighbours and their distance in Å.
Atoms (fractional coordinates):
In  0.7500  0.2500  0.5000  4 Te 2.86
In  0.7500  0.7500  0.0000  2 In 3.61, 8 Te 3.63
In  0.2500  0.2500  0.0000  2 In 3.61, 8 Te 3.63
In  0.2500  0.7500  0.5000  4 Te 2.86
Te  0.1827  0.3173  0.5000  2 In 2.86
Te  0.8173  0.6827  0.5000  2 In 2.86
Te  0.3173  0.8173  0.1347  2 In 2.86
Te  0.6827  0.1827  0.8653  2 In 2.86